VASP calculation (PBE) on crystalline TlHgPb2Au2 at its relaxed geometry.

Summary:
formation enthalpy at 0 K	-0.0381	eV per atom
space-group type	Pmc2_1, No. 26
DFT total energy	-0.2066	Ry per atom

```
TlHgPb2Au2
1.0
4.4999 0.0000 0.0000
0.0000 8.9260 0.0000
0.0000 0.0000 7.8355
Tl Hg Pb Au
2 2 4 4
Cartesian
0.0000 0.7497 0.0000
0.0000 8.1764 3.9178
2.2499 1.6771 5.6078
2.2499 7.2489 1.6900
0.0000 2.5944 3.3707
0.0000 6.3316 7.2885
2.2499 3.8514 0.6715
2.2499 5.0746 4.5892
0.0000 3.5426 6.3243
0.0000 5.3834 2.4066
2.2499 1.1772 2.0136
2.2499 7.7488 5.9314
```